Record 1
## ZrBeH2 (PBE)

Data for ZrBeH2 after structural relaxation.

Unit cell a=3.633 b=3.633 c=3.633 alpha=60.00 beta=60.00 gamma=60.00
Fractional positions:
1 Zr 0.000 0.000 0.000
2 Be 0.500 0.500 0.500
3 H 0.250 0.250 0.250
4 H 0.750 0.750 0.750

Summary:
* energy relative to the lowest polymorph listed for this composition: 0.0000 eV/atom

=====

Record 2
## ZrBeH3 (PBE)

Data for ZrBeH3 after structural relaxation.

Unit cell a=3.738 b=3.738 c=3.738 alpha=90.00 beta=90.00 gamma=90.00
Fractional positions:
1 Zr 0.000 0.000 0.000
2 Be 0.500 0.500 0.500
3 H 0.000 0.000 0.500
4 H 0.000 0.500 0.000
5 H 0.500 0.000 0.000

Summary:
* energy relative to the lowest polymorph listed for this composition: 0.3022 eV/atom

=====

Record 3
## Zr2BeH (PBE)

Data for Zr2BeH after structural relaxation.

Unit cell a=4.336 b=4.336 c=4.336 alpha=60.00 beta=60.00 gamma=60.00
Fractional positions:
1 Zr 0.250 0.250 0.250
2 Zr 0.750 0.750 0.750
3 Be 0.000 0.000 0.000
4 H 0.500 0.500 0.500

Summary:
* energy relative to the lowest polymorph listed for this composition: 0.1303 eV/atom

=====

Record 4
## ZrBeH3 (PBE)

Data for ZrBeH3 after structural relaxation.

Unit cell a=3.316 b=3.316 c=3.316 alpha=90.00 beta=90.00 gamma=90.00
Fractional positions:
1 Zr 0.000 0.000 0.000
2 Be 0.500 0.500 0.500
3 H 0.000 0.500 0.500
4 H 0.500 0.000 0.500
5 H 0.500 0.500 0.000

Summary:
* energy relative to the lowest polymorph listed for this composition: 0.0000 eV/atom

=====

Record 5
## Zr2BeH2 (PBE)

Data for Zr2BeH2 after structural relaxation.

Unit cell a=5.542 b=5.542 c=5.542 alpha=143.24 beta=143.24 gamma=52.96
Fractional positions:
1 Zr 0.143 0.143 0.000
2 Zr 0.857 0.857 0.000
3 Be 0.500 0.500 0.000
4 H 0.250 0.750 0.500
5 H 0.750 0.250 0.500

Summary:
* final energy: -5.7845 eV/atom

=====

Record 6
## ZrBeH (PBE)

Data for ZrBeH after structural relaxation.

Unit cell a=3.831 b=5.304 c=6.596 alpha=90.00 beta=90.00 gamma=90.00
Fractional positions:
1 Zr 0.250 0.250 0.084
2 Zr 0.250 0.750 0.416
3 Zr 0.750 0.250 0.584
4 Zr 0.750 0.750 0.916
5 Be 0.250 0.001 0.750
6 Be 0.250 0.499 0.750
7 Be 0.750 0.501 0.250
8 Be 0.750 0.999 0.250
9 H 0.250 0.250 0.419
10 H 0.250 0.750 0.082
11 H 0.750 0.250 0.918
12 H 0.750 0.750 0.581

Summary:
* final energy: -5.2403 eV/atom

=====

Record 7
## Zr3BeH3 (PBE)

Data for Zr3BeH3 after structural relaxation.

Unit cell a=5.690 b=5.690 c=5.690 alpha=90.00 beta=90.00 gamma=90.00
Fractional positions:
1 Zr 0.000 0.250 0.500
2 Zr 0.000 0.750 0.500
3 Zr 0.250 0.500 0.000
4 Zr 0.500 0.000 0.250
5 Zr 0.500 0.000 0.750
6 Zr 0.750 0.500 0.000
7 Be 0.000 0.000 0.000
8 Be 0.500 0.500 0.500
9 H 0.000 0.500 0.250
10 H 0.000 0.500 0.750
11 H 0.250 0.000 0.500
12 H 0.500 0.250 0.000
13 H 0.500 0.750 0.000
14 H 0.750 0.000 0.500

Summary:
* final energy: -5.8194 eV/atom

=====

Record 8
## HfBe (PBE)

Data for HfBe after structural relaxation.

Unit cell a=5.015 b=5.095 c=9.653 alpha=90.00 beta=90.00 gamma=90.00
Fractional positions:
1 Hf 0.120 0.094 0.483
2 Hf 0.137 0.641 0.689
3 Hf 0.363 0.359 0.189
4 Hf 0.380 0.906 0.983
5 Hf 0.620 0.406 0.517
6 Hf 0.637 0.859 0.311
7 Hf 0.863 0.141 0.811
8 Hf 0.880 0.594 0.017
9 Be 0.122 0.592 0.402
10 Be 0.136 0.856 0.226
11 Be 0.364 0.144 0.726
12 Be 0.378 0.408 0.902
13 Be 0.622 0.908 0.598
14 Be 0.636 0.644 0.774
15 Be 0.864 0.356 0.274
16 Be 0.878 0.092 0.098

Summary:
* ΔE_f: -4.4 kJ/mol of atoms

=====

Record 9
## HfBe (PBE)

Data for HfBe after structural relaxation.

Unit cell a=5.267 b=5.267 c=3.747 alpha=90.00 beta=90.00 gamma=143.12
Fractional positions:
1 Hf 0.151 0.849 0.750
2 Hf 0.849 0.151 0.250
3 Be 0.439 0.561 0.750
4 Be 0.561 0.439 0.250

Summary:
* ΔE_f: -8.0 kJ/mol of atoms

=====

Record 10
## HfBe (PBE)

Data for HfBe after structural relaxation.

Unit cell a=3.948 b=3.948 c=3.948 alpha=60.00 beta=60.00 gamma=60.00
Fractional positions:
1 Hf 0.000 0.000 0.000
2 Be 0.250 0.250 0.250

Summary:
* ΔE_f: 146.9 kJ/mol of atoms

=====

Record 11
## HfBe12 (PBE)

Data for HfBe12 after structural relaxation.

Unit cell a=5.659 b=5.659 c=5.659 alpha=98.02 beta=98.02 gamma=136.15
Fractional positions:
1 Hf 0.000 0.000 0.000
2 Be 0.000 0.000 0.500
3 Be 0.000 0.354 0.354
4 Be 0.000 0.500 0.000
5 Be 0.000 0.646 0.646
6 Be 0.278 0.500 0.778
7 Be 0.354 0.000 0.354
8 Be 0.500 0.000 0.000
9 Be 0.500 0.278 0.778
10 Be 0.500 0.500 0.500
11 Be 0.500 0.722 0.222
12 Be 0.646 0.000 0.646
13 Be 0.722 0.500 0.222

Summary:
* ΔE_f: -15.7 kJ/mol of atoms

=====

Record 12
## HfBe4 (PBE)

Data for HfBe4 after structural relaxation.

Unit cell a=6.585 b=6.585 c=6.585 alpha=109.47 beta=109.47 gamma=109.47
Fractional positions:
1 Hf 0.000 0.000 0.552
2 Hf 0.000 0.552 0.000
3 Hf 0.448 0.448 0.448
4 Hf 0.552 0.000 0.000
5 Be 0.000 0.000 0.187
6 Be 0.000 0.187 0.000
7 Be 0.000 0.352 0.352
8 Be 0.000 0.648 0.648
9 Be 0.187 0.000 0.000
10 Be 0.250 0.500 0.750
11 Be 0.250 0.750 0.500
12 Be 0.352 0.000 0.352
13 Be 0.352 0.352 0.000
14 Be 0.500 0.250 0.750
15 Be 0.500 0.750 0.250
16 Be 0.648 0.000 0.648
17 Be 0.648 0.648 0.000
18 Be 0.750 0.250 0.500
19 Be 0.750 0.500 0.250
20 Be 0.813 0.813 0.813

Summary:
* ΔE_f: -4.7 kJ/mol of atoms
* energy relative to the lowest polymorph listed for this composition: 0.0000 eV/atom

=====

no.,total magnetization (μB per formula unit)
1,0.00
2,0.00
3,0.00
4,0.00
5,0.00
6,0.00
7,0.00
8,0.00
9,0.00
10,0.00
11,0.00
12,0.00